Entry 1:
A plane-wave DFT calculation with PBE was carried out for a relaxed structure of Pm3SmHo2Te6.

The space group is C2/m (No. 12) and the conventional cell measures 19.3025, 4.3863 and 8.9068 Å, with angles of 90.00, 103.77 and 90.00 degrees. The distinct sites, in fractional coordinates, are Pm at (0.0000, 0.0000, 0.0000), Pm at (0.1627, 0.5000, 0.3322), Sm at (0.0000, 0.0000, 0.5000), Ho at (0.1652, 0.5000, 0.8303), Te at (0.0039, 0.5000, 0.7508), Te at (0.1682, 0.0000, 0.5910) and Te at (0.1699, 0.0000, 0.0768).

The size of the total moment comes out at 0.000 μB per cell. As for the volume: 732.4 Å³ per cell. The formation energy from raw total energies comes out at -1.352 eV per atom. The density of states at the Fermi level comes out at 12.97 states/eV/cell.

---

Entry 2:
A plane-wave DFT calculation with PBE was carried out for a relaxed structure of KSrTl2.

The space group is Cm (No. 8) and the conventional cell measures 13.4613, 4.0204 and 5.9308 Å, with angles of 90.00, 115.44 and 90.00 degrees. The distinct sites, in fractional coordinates, are K at (0.0000, 0.0000, 0.0000), Sr at (0.2973, 0.5000, 0.3021), Tl at (0.0415, 0.5000, 0.5404) and Tl at (0.2414, 0.0000, 0.7474).

The size of the total moment comes out at 0.000 μB per cell. The distance to the lowest polymorph of the same formula is 0.027 eV/atom. As for the volume: 289.8 Å³ per cell. The formation energy is -18 kJ/mol of atoms. The density of states at the Fermi level comes out at 2.78 states/eV/cell.

---

Entry 3:
A plane-wave DFT calculation with PBE was carried out for a relaxed structure of BaTaIr2.

The space group is Immm (No. 71) and the conventional cell measures 4.0778, 5.8986 and 7.8493 Å, with angles of 90.00, 90.00 and 90.00 degrees. The distinct sites, in fractional coordinates, are Ba at (0.0000, 0.0000, 0.0000), Ta at (0.0000, 0.0000, 0.5000) and Ir at (0.0000, 0.5000, 0.1957).

The size of the total moment comes out at 0.000 μB per cell. The distance to the lowest polymorph of the same formula is 0.668 eV/atom. As for the volume: 188.8 Å³ per cell. The formation energy is 44 kJ/mol of atoms. The density of states at the Fermi level comes out at 6.39 states/eV/cell.

---

Number 1: electronic total energy -5.267 eV per atom. Number 2: electronic total energy -2.069 eV per atom. Number 3: electronic total energy -7.423 eV per atom.